Here is a relaxed TlWO3 crystal from Alexandria via LeMat-Bulk. Energies are from PBE+U.

density of states at the Fermi level: 0.00 states/eV/f.u.
electronic total energy: -65.13 eV/cell

Geometry as POSCAR:
```
TlWO3
1.0
5.232 -2.040 0.000
5.232 2.040 0.000
-1.397 0.000 8.159
Tl W O
2 2 6
direct
0.115 0.115 0.361 Tl
0.885 0.885 0.639 Tl
0.366 0.366 0.075 W
0.634 0.634 0.925 W
0.171 0.171 0.961 O
0.346 0.346 0.289 O
0.433 0.433 0.857 O
0.567 0.567 0.143 O
0.654 0.654 0.711 O
0.829 0.829 0.039 O
```